VASP calculation (PBE-GGA) on crystalline AlAs2Br at its relaxed geometry.

Properties
- uncorrected energy (hartree per atom) = -0.11988
- E_form (uncorrected) (eV/f.u.) = 1.7
- spin magnetization (μB/f.u.) = 0.00
- SG = P4/mmm (123)
- distance to the lowest polymorph of the same formula (meV per atom) = 640

Unit cell a=5.087 b=5.087 c=3.161 alpha=90.00 beta=90.00 gamma=90.00
Atoms (fractional coordinates):
As (0.000, 0.000, 0.000)
As (0.500, 0.500, 0.000)
Br (0.500, 0.000, 0.500)
Al (0.000, 0.500, 0.500)


VASP calculation (PBE-GGA) on crystalline BaTmMg17 at its relaxed geometry.

Properties
- uncorrected energy (hartree per atom) = -0.06566
- energy of formation from the pure elements (eV/atom) = -0.023
- spin magnetization (μB/f.u.) = 0.00
- SG = R3m (160)

Unit cell a=7.895 b=7.895 c=7.895 alpha=82.42 beta=82.42 gamma=82.42
Atoms (fractional coordinates):
Mg (0.297, 0.698, 0.005)
Mg (0.102, 0.102, 0.102)
Mg (0.905, 0.905, 0.905)
Mg (0.996, 0.996, 0.504)
Mg (0.005, 0.297, 0.698)
Mg (0.996, 0.504, 0.996)
Mg (0.297, 0.005, 0.698)
Mg (0.171, 0.643, 0.643)
Mg (0.345, 0.345, 0.857)
Mg (0.345, 0.857, 0.345)
Mg (0.643, 0.643, 0.171)
Mg (0.857, 0.345, 0.345)
Mg (0.698, 0.005, 0.297)
Mg (0.005, 0.698, 0.297)
Mg (0.643, 0.171, 0.643)
Mg (0.698, 0.297, 0.005)
Mg (0.504, 0.996, 0.996)
Ba (0.664, 0.664, 0.664)
Tm (0.327, 0.327, 0.327)


VASP calculation (PBE-GGA) on crystalline TbMgScTc at its relaxed geometry.

Properties
- uncorrected energy (hartree per atom) = -0.21206
- energy of formation from the pure elements (eV/atom) = -0.040
- spin magnetization (μB/f.u.) = 0.00
- SG = F-43m (216)

Unit cell a=4.904 b=4.904 c=4.904 alpha=60.00 beta=60.00 gamma=60.00
Atoms (fractional coordinates):
Tb (0.500, 0.500, 0.500)
Sc (0.000, 0.000, 0.000)
Mg (0.750, 0.750, 0.750)
Tc (0.250, 0.250, 0.250)


VASP calculation (PBE-GGA) on crystalline CrSi2GeH at its relaxed geometry.

Properties
- uncorrected energy (hartree per atom) = -0.17499
- spin magnetization (μB/f.u.) = 0.20
- SG = P4/mmm (123)

Unit cell a=4.869 b=3.046 c=4.869 alpha=90.00 beta=90.00 gamma=90.00
Last column: magnetic moment on the atom in μB.
Atoms (fractional coordinates):
Ge (0.000, 0.000, 0.000)  -0.02
Si (0.500, 0.000, 0.000)  0.03
Si (0.000, 0.000, 0.500)  0.02
H (0.000, 0.500, 0.000)  0.00
Cr (0.500, 0.500, 0.500)  -0.25


VASP calculation (PBE-GGA) on crystalline Ca2FeRh at its relaxed geometry.

Properties
- uncorrected energy (hartree per atom) = -0.16722
- energy of formation from the pure elements (eV/atom) = 0.404
- spin magnetization (μB/f.u.) = 2.55
- SG = C2/m (12)

Unit cell a=4.838 b=4.838 c=5.842 alpha=80.54 beta=80.54 gamma=39.25
Last column: magnetic moment on the atom in μB.
Atoms (fractional coordinates):
Fe (0.750, 0.750, 0.750)  2.75
Ca (0.993, 0.993, 0.010)  -0.06
Ca (0.507, 0.507, 0.490)  -0.06
Rh (0.250, 0.250, 0.250)  0.15


VASP calculation (PBE-GGA) on crystalline La3Pd2 at its relaxed geometry.

Properties
- uncorrected energy (hartree per atom) = -0.20617
- energy of formation from the pure elements (eV/atom) = -0.577
- spin magnetization (μB/f.u.) = 0.00
- SG = R-3c (167)
- distance to the lowest polymorph of the same formula (meV per atom) = 79

Unit cell a=7.249 b=7.249 c=7.942 alpha=62.85 beta=62.85 gamma=60.00
Atoms (fractional coordinates):
Pd (0.320, 0.320, 0.039)
Pd (0.180, 0.180, 0.461)
Pd (0.680, 0.680, 0.961)
Pd (0.820, 0.820, 0.539)
La (0.382, 0.118, 0.750)
La (0.118, 0.750, 0.750)
La (0.750, 0.382, 0.750)
La (0.882, 0.250, 0.250)
La (0.618, 0.882, 0.250)
La (0.250, 0.618, 0.250)